No. 1
This record from OQMD via LeMat-Bulk describes a geometry-optimized HoErZr2C3 structure. The functional is PBE.

Summary:
* crystal system: monoclinic
* E_tot: -8.15 eV per atom

The structure in POSCAR format:
```
HoErZr2C3
1.0
6.233 -1.761 0.000
6.233 1.761 0.000
-2.371 0.000 5.358
C Er Ho Zr
3 1 1 2
Direct
0.733 0.733 0.258 C
0.000 0.000 0.502 C
0.266 0.266 0.741 C
0.623 0.623 0.792 Er
0.377 0.377 0.208 Ho
0.139 0.139 0.329 Zr
0.861 0.861 0.670 Zr
```

No. 2
This record from OQMD via LeMat-Bulk describes a geometry-optimized Gd3ErB2Pb2 structure. The functional is PBE.

Summary:
* crystal system: trigonal
* E_tot: -5.09 eV per atom

The structure in POSCAR format:
```
Gd3ErB2Pb2
1.0
3.714 0.000 0.000
-1.857 3.216 0.000
0.000 0.000 16.835
B Er Gd Pb
2 1 3 2
Direct
0.667 0.333 0.003 B
0.667 0.333 0.499 B
0.000 0.000 0.089 Er
0.000 0.000 0.408 Gd
0.333 0.667 0.590 Gd
0.333 0.667 0.913 Gd
0.333 0.667 0.247 Pb
0.000 0.000 0.751 Pb
```

No. 3
This record from OQMD via LeMat-Bulk describes a geometry-optimized AcTaAs structure. The functional is PBE.

Summary:
* crystal system: cubic
* E_tot: -6.54 eV per atom

The structure in POSCAR format:
```
AcTaAs
1.0
0.000 3.448 3.448
3.448 0.000 3.448
3.448 3.448 0.000
Ac As Ta
1 1 1
Direct
0.250 0.250 0.250 Ac
0.000 0.000 0.000 As
0.750 0.750 0.750 Ta
```

No. 4
This record from OQMD via LeMat-Bulk describes a geometry-optimized ErTm2Mg3Pt2Au structure. The functional is PBE.

Summary:
* crystal system: orthorhombic
* E_tot: -4.60 eV per atom

The structure in POSCAR format:
```
ErTm2Mg3Pt2Au
1.0
-0.861 -3.919 0.382
7.058 -1.687 -1.412
-2.203 1.162 6.961
Au Er Mg Pt Tm
1 1 3 2 2
Direct
0.000 0.000 0.000 Au
0.000 0.417 0.417 Er
0.500 0.251 0.000 Mg
0.500 0.000 0.251 Mg
0.500 0.749 0.749 Mg
0.500 0.667 0.333 Pt
0.500 0.333 0.667 Pt
0.000 0.583 0.000 Tm
0.000 0.000 0.583 Tm
```

No. 5
This record from OQMD via LeMat-Bulk describes a geometry-optimized Si2IrPd structure. The functional is PBE.

Summary:
* crystal system: monoclinic
* E_tot: -6.65 eV per atom

The structure in POSCAR format:
```
Si2IrPd
1.0
-1.048 -3.435 1.991
3.351 -1.460 -0.756
2.884 3.509 6.009
Ir Pd Si
2 2 4
Direct
0.719 0.750 0.310 Ir
0.281 0.250 0.690 Ir
0.197 0.250 0.192 Pd
0.803 0.750 0.808 Pd
0.693 0.250 0.014 Si
0.249 0.750 0.486 Si
0.751 0.250 0.514 Si
0.307 0.750 0.986 Si
```

No. 6
This record from OQMD via LeMat-Bulk describes a geometry-optimized DyReNO structure. The functional is PBE.

Summary:
* crystal system: tetragonal
* E_tot: -8.31 eV per atom

The structure in POSCAR format:
```
DyReNO
1.0
-0.515 3.525 -3.291
2.599 -2.586 -3.176
-3.582 -1.852 -1.423
Dy N O Re
2 2 2 2
Direct
0.750 0.250 0.500 Dy
0.250 0.750 0.500 Dy
0.250 0.250 0.499 N
0.750 0.750 0.501 N
0.750 0.250 0.000 O
0.250 0.750 0.000 O
0.750 0.750 0.001 Re
0.250 0.250 0.999 Re
```

No. 7
This record from OQMD via LeMat-Bulk describes a geometry-optimized HoTm2Al3Si2Pt structure. The functional is PBE.

Summary:
* crystal system: orthorhombic
* E_tot: -5.51 eV per atom

The structure in POSCAR format:
```
HoTm2Al3Si2Pt
1.0
4.199 0.000 0.000
0.000 5.936 3.425
0.000 -5.936 3.425
Al Ho Pt Si Tm
3 1 1 2 2
Direct
0.500 0.762 0.000 Al
0.500 0.238 0.238 Al
0.500 0.000 0.762 Al
0.000 0.582 0.582 Ho
0.000 0.002 0.002 Pt
0.500 0.667 0.332 Si
0.500 0.332 0.667 Si
0.000 0.000 0.417 Tm
0.000 0.417 0.000 Tm
```

No. 8
This record from OQMD via LeMat-Bulk describes a geometry-optimized LiLuReTc structure. The functional is PBE.

Summary:
* crystal system: cubic
* E_tot: -6.58 eV per atom

The structure in POSCAR format:
```
LiLuReTc
1.0
-4.299 -1.403 -0.084
-2.941 1.894 -2.868
-1.542 -2.355 -3.541
Li Lu Re Tc
1 1 1 1
Direct
0.750 0.750 0.750 Li
0.250 0.250 0.250 Lu
0.500 0.500 0.500 Re
0.000 0.000 0.000 Tc
```